(1)
This record from Alexandria describes a relaxed structure of InOsSe3. The functional is GGA-PBEsol.

CIF file:
```
data_InOsSe3
_cell_length_a 5.085
_cell_length_b 5.085
_cell_length_c 5.085
_cell_angle_alpha 90.00
_cell_angle_beta 90.00
_cell_angle_gamma 90.00
_symmetry_space_group_name_H-M 'P 1'
_symmetry_Int_Tables_number 1
_symmetry_space_group_name_Hall 'P 1'
loop_
_atom_site_label
_atom_site_type_symbol
_atom_site_fract_x
_atom_site_fract_y
_atom_site_fract_z
Os1 Os 0.500 0.500 0.500
Se1 Se 0.000 0.500 0.000
Se2 Se 0.000 0.000 0.500
Se3 Se 0.500 0.000 0.000
In1 In 0.000 0.000 0.000
```

Properties
VASP energy ... -3.681 eV per atom
Density of states at the Fermi level ... 7.6 states/eV per cell
Total magnetization ... 0.7897 μB/atom
E_form (uncorrected) ... 1.67 eV per atom
SG ... Pm-3m (221)

(2)
This record from Alexandria describes a relaxed structure of InOsSe. The functional is GGA-PBEsol.

CIF file:
```
data_InOsSe
_cell_length_a 2.980
_cell_length_b 2.980
_cell_length_c 6.907
_cell_angle_alpha 102.46
_cell_angle_beta 102.46
_cell_angle_gamma 90.00
_symmetry_space_group_name_H-M 'P 1'
_symmetry_Int_Tables_number 1
_symmetry_space_group_name_Hall 'P 1'
loop_
_atom_site_label
_atom_site_type_symbol
_atom_site_fract_x
_atom_site_fract_y
_atom_site_fract_z
In1 In 0.021 0.021 0.042
Os1 Os 0.689 0.689 0.377
Se1 Se 0.290 0.290 0.581
```

Properties
VASP energy ... -6.061 eV per atom
Density of states at the Fermi level ... 1.3 states/eV per cell
Total magnetization ... 0.0000 μB/atom
E_form (uncorrected) ... 0.29 eV per atom
SG ... I4mm (107)

(3)
This record from Alexandria describes a relaxed structure of InSi2Os. The functional is GGA-PBEsol.

CIF file:
```
data_InSi2Os
_cell_length_a 3.042
_cell_length_b 3.042
_cell_length_c 8.330
_cell_angle_alpha 79.48
_cell_angle_beta 79.48
_cell_angle_gamma 60.00
_symmetry_space_group_name_H-M 'P 1'
_symmetry_Int_Tables_number 1
_symmetry_space_group_name_Hall 'P 1'
loop_
_atom_site_label
_atom_site_type_symbol
_atom_site_fract_x
_atom_site_fract_y
_atom_site_fract_z
In1 In 0.500 0.500 0.500
Os1 Os 0.000 0.000 0.000
Si1 Si 0.262 0.262 0.213
Si2 Si 0.738 0.738 0.787
```

Properties
VASP energy ... -6.559 eV per atom
Density of states at the Fermi level ... 1.7 states/eV per cell
Total magnetization ... 0.0000 μB/atom
E_form (uncorrected) ... 0.11 eV per atom
SG ... R-3m (166)

Q: What is the density of states at the Fermi level in the second record?
A: 1.3 states/eV per cell